Entry from the Alexandria database: a geometry-optimized BiHRh3 structure (PBE).

Geometry as extended XYZ:
```
5
Lattice="3.880 0.000 0.000 0.000 3.880 0.000 0.000 0.000 6.307" Properties=species:S:1:pos:R:3 pbc="T T T"
H 1.940 1.940 2.987
Rh 0.000 0.000 4.591
Rh 1.940 0.000 2.894
Rh 0.000 1.940 2.894
Bi 0.000 0.000 0.910
```

Results
Polymorph energy (0 for the lowest one) in eV per formula unit: 2.363
Space group: P4mm, No. 99